Computed, not measured: an optimized crystal structure of HoTm4In2 at the PBE-GGA level of DFT.

Results
E_form = -0.081 eV per atom
Fermi-level density of states = 10.50 states/eV/f.u.
E_tot = -4.073 eV per atom

a = 7.8702 Å, b = 6.6744 Å, c = 6.3216 Å
α = 74.49°, β = 54.80°, γ = 50.71°
Atoms (fractional coordinates):
Ho1 0.0000 0.0000 0.0000
Tm1 0.2500 0.2500 0.2500
Tm2 0.3320 0.6680 0.3320
Tm3 0.6680 0.3320 0.6680
Tm4 0.7500 0.7500 0.7500
In1 0.2765 0.2765 0.7235
In2 0.7235 0.7235 0.2765

Computed, not measured: an optimized crystal structure of Ho8Tm3In at the PBE-GGA level of DFT.

Results
E_form = -0.054 eV per atom
Fermi-level density of states = 18.92 states/eV/f.u.
E_tot = -4.452 eV per atom

a = 8.4040 Å, b = 3.6469 Å, c = 11.9847 Å
α = 90.00°, β = 94.44°, γ = 90.00°
Atoms (fractional coordinates):
Ho1 0.0000 0.0000 0.0000
Ho2 0.0177 0.0000 0.3109
Ho3 0.1945 0.5000 0.5255
Ho4 0.2593 0.5000 0.8131
Ho5 0.4523 0.0000 0.3369
Ho6 0.5182 0.0000 0.6385
Ho7 0.7247 0.5000 0.1683
Ho8 0.7735 0.5000 0.4735
Tm1 0.4375 0.0000 0.0246
Tm2 0.6820 0.5000 0.8645
Tm3 0.9365 0.0000 0.7009
In1 0.2294 0.5000 0.1667

Computed, not measured: an optimized crystal structure of Ho5TmIn3 at the PBE-GGA level of DFT.

Results
E_form = -0.352 eV per atom
Fermi-level density of states = 9.64 states/eV/f.u.
E_tot = -4.304 eV per atom

a = 9.2839 Å, b = 9.2839 Å, c = 6.6914 Å
α = 90.00°, β = 90.00°, γ = 120.00°
Atoms (fractional coordinates):
Ho1 0.0000 0.3329 0.2500
Ho2 0.0000 0.6671 0.7500
Ho3 0.3329 0.0000 0.2500
Ho4 0.3329 0.3329 0.7500
Ho5 0.3333 0.6667 0.0000
Ho6 0.3333 0.6667 0.5000
Ho7 0.6671 0.0000 0.7500
Ho8 0.6667 0.3333 0.0000
Ho9 0.6667 0.3333 0.5000
Ho10 0.6671 0.6671 0.2500
Tm1 0.0000 0.0000 0.0000
Tm2 0.0000 0.0000 0.5000
In1 0.0000 0.3332 0.7500
In2 0.0000 0.6668 0.2500
In3 0.3332 0.0000 0.7500
In4 0.3332 0.3332 0.2500
In5 0.6668 0.0000 0.2500
In6 0.6668 0.6668 0.7500

Computed, not measured: an optimized crystal structure of HoTm4In5 at the PBE-GGA level of DFT.

Results
E_form = -0.429 eV per atom
Fermi-level density of states = 5.56 states/eV/f.u.
E_tot = -4.045 eV per atom

a = 3.6907 Å, b = 3.6907 Å, c = 18.9700 Å
α = 90.00°, β = 90.00°, γ = 90.00°
Atoms (fractional coordinates):
Ho1 0.0000 0.0000 0.0000
Tm1 0.0000 0.0000 0.2014
Tm2 0.0000 0.0000 0.4005
Tm3 0.0000 0.0000 0.5995
Tm4 0.0000 0.0000 0.7986
In1 0.5000 0.5000 0.1018
In2 0.5000 0.5000 0.3009
In3 0.5000 0.5000 0.5000
In4 0.5000 0.5000 0.6991
In5 0.5000 0.5000 0.8982

Computed, not measured: an optimized crystal structure of Ho5TmIn at the PBE-GGA level of DFT.

Results
E_form = 0.741 eV per atom
Fermi-level density of states = 8.47 states/eV/f.u.
E_tot = -3.559 eV per atom

a = 7.9659 Å, b = 11.4838 Å, c = 6.0857 Å
α = 90.00°, β = 90.00°, γ = 90.00°
Atoms (fractional coordinates):
Ho1 0.0000 0.0000 0.0000
Ho2 0.0000 0.2478 0.3194
Ho3 0.0000 0.7522 0.3194
Ho4 0.1840 0.5000 0.2092
Ho5 0.3160 0.0000 0.7092
Ho6 0.5000 0.2522 0.8194
Ho7 0.5000 0.5000 0.5000
Ho8 0.5000 0.7478 0.8194
Ho9 0.6840 0.0000 0.7092
Ho10 0.8160 0.5000 0.2092
Tm1 0.0000 0.5000 0.7060
Tm2 0.5000 0.0000 0.2060
In1 0.0000 0.0000 0.4777
In2 0.5000 0.5000 0.9777

Computed, not measured: an optimized crystal structure of Ho2TmIn4 at the PBE-GGA level of DFT.

Results
E_form = -0.304 eV per atom
Fermi-level density of states = 5.47 states/eV/f.u.
E_tot = -3.816 eV per atom

a = 5.2177 Å, b = 5.2177 Å, c = 14.4848 Å
α = 90.00°, β = 90.00°, γ = 90.00°
Atoms (fractional coordinates):
Ho1 0.0000 0.0000 0.2498
Ho2 0.0000 0.0000 0.7502
Ho3 0.5000 0.5000 0.2502
Ho4 0.5000 0.5000 0.7498
Tm1 0.0000 0.0000 0.0000
Tm2 0.5000 0.5000 0.5000
In1 0.0000 0.5000 0.1143
In2 0.0000 0.5000 0.3857
In3 0.0000 0.5000 0.6143
In4 0.0000 0.5000 0.8857
In5 0.5000 0.0000 0.1143
In6 0.5000 0.0000 0.3857
In7 0.5000 0.0000 0.6143
In8 0.5000 0.0000 0.8857

The lowest E_form belongs to which entry?
HoTm4In5

The lowest E_tot belongs to which entry?
Ho8Tm3In

Which of these has the lowest E_form?
HoTm4In5